Run w
4
Lattice="4.420 0.000 0.000 0.000 4.420 0.000 0.000 0.000 3.699" Properties=species:S:1:pos:R:3 comment="PaNi2Sb GGA-PBE optimized geometry" magmom_total_mub_per_atom=0.0000 rho_g_cm3=10.805 pbc="T T T"
Pa 0.000 0.000 0.000
Ni 0.000 2.210 1.849
Ni 2.210 0.000 1.849
Sb 2.210 2.210 0.000

=====

Run x
4
Lattice="3.626 -2.100 0.000 3.626 2.100 0.000 -2.408 0.000 4.709" Properties=species:S:1:pos:R:3 comment="PaNi2Sb GGA-PBE optimized geometry" magmom_total_mub_per_atom=0.0000 rho_g_cm3=10.889 pbc="T T T"
Pa 0.000 0.000 0.000
Ni 0.001 0.000 3.188
Ni 4.844 0.000 1.521
Sb 2.422 0.000 2.354

=====

From most stable to least stable, the computed energies give run x, run w.

=====

Run w
12
Lattice="2.455 1.417 8.167 -2.455 1.417 8.167 0.000 -2.835 8.167" Properties=species:S:1:pos:R:3 comment="Pa2Ni9Sb GGA-PBE optimized geometry" magmom_total_mub_per_atom=0.0000 rho_g_cm3=10.832 pbc="T T T"
Pa 0.000 0.000 3.247
Pa 0.000 0.000 21.253
Ni -1.238 -0.715 10.242
Ni 0.000 0.000 8.162
Ni 0.000 -1.429 14.259
Ni -1.238 0.715 14.259
Ni 0.000 0.000 12.250
Ni 1.238 -0.715 10.242
Ni 0.000 1.429 10.242
Ni 0.000 0.000 16.339
Ni 1.238 0.715 14.259
Sb 0.000 0.000 0.000

=====

Run x
12
Lattice="3.868 0.000 0.000 0.000 3.868 0.000 0.000 0.000 11.297" Properties=species:S:1:pos:R:3 comment="Pa2Ni9Sb GGA-PBE optimized geometry" magmom_total_mub_per_atom=0.0000 rho_g_cm3=10.927 pbc="T T T"
Pa 0.000 0.000 1.996
Pa 0.000 0.000 9.301
Ni 0.000 1.934 0.000
Ni 0.000 1.934 3.760
Ni 0.000 1.934 7.537
Ni 1.934 0.000 0.000
Ni 1.934 0.000 3.760
Ni 1.934 0.000 7.537
Ni 1.934 1.934 1.859
Ni 1.934 1.934 5.648
Ni 1.934 1.934 9.437
Sb 0.000 0.000 5.648

=====

From most stable to least stable, the computed energies give run x, run w.